(1)
{"formula": "LiTiAu6", "functional": "GGA-PBE", "state": "optimized geometry", "formation_energy_mev_per_atom": -312, "dos_ef_per_ev_cell": 5.3, "lattice": [[4.589, -2.032, 0.000], [4.589, 2.032, 0.000], [-3.685, 0.000, 7.357]], "species": ["Li", "Ti", "Au", "Au", "Au", "Au", "Au", "Au"], "frac_coords": [[0.000, 0.000, 0.000], [0.000, 0.000, 0.500], [0.251, 0.251, 0.875], [0.252, 0.252, 0.378], [0.498, 0.498, 0.249], [0.502, 0.502, 0.751], [0.748, 0.748, 0.622], [0.749, 0.749, 0.125]]}


(2)
{"formula": "Li2TiAu8", "functional": "GGA-PBE", "state": "optimized geometry", "formation_energy_mev_per_atom": -298, "dos_ef_per_ev_cell": 3.9, "lattice": [[-2.146, 3.399, 6.512], [2.146, -3.399, 6.512], [2.146, 3.399, -6.512]], "species": ["Li", "Li", "Ti", "Au", "Au", "Au", "Au", "Au", "Au", "Au", "Au"], "frac_coords": [[0.196, 0.196, 0.000], [0.804, 0.804, 0.000], [0.500, 0.500, 0.000], [0.062, 0.350, 0.713], [0.210, 0.000, 0.210], [0.342, 0.842, 0.500], [0.363, 0.650, 0.713], [0.637, 0.350, 0.287], [0.658, 0.158, 0.500], [0.790, 0.000, 0.790], [0.938, 0.650, 0.287]]}


(3)
{"formula": "LiTiAu3", "functional": "GGA-PBE", "state": "optimized geometry", "formation_energy_mev_per_atom": 193, "dos_ef_per_ev_cell": 7.2, "lattice": [[4.447, 0.000, 0.000], [0.000, 4.447, 0.000], [0.000, 0.000, 4.447]], "species": ["Li", "Ti", "Au", "Au", "Au"], "frac_coords": [[0.000, 0.000, 0.000], [0.500, 0.500, 0.500], [0.000, 0.000, 0.500], [0.000, 0.500, 0.000], [0.500, 0.000, 0.000]]}


(4)
{"formula": "Li2TiAu", "functional": "GGA-PBE", "state": "optimized geometry", "formation_energy_mev_per_atom": 149, "dos_ef_per_ev_cell": 6.2, "lattice": [[-3.659, 3.659, 2.672], [3.659, -3.659, 2.672], [3.659, 3.659, -2.672]], "species": ["Li", "Li", "Li", "Li", "Ti", "Ti", "Au", "Au"], "frac_coords": [[0.094, 0.125, 0.469], [0.375, 0.906, 0.031], [0.656, 0.625, 0.531], [0.875, 0.344, 0.969], [0.250, 0.750, 0.500], [0.500, 0.500, 0.000], [0.000, 0.000, 0.000], [0.750, 0.250, 0.500]]}


(5)
{"formula": "LiTiTlAu", "functional": "GGA-PBE", "state": "optimized geometry", "formation_energy_mev_per_atom": -205, "dos_ef_per_ev_cell": 2.4, "lattice": [[0.000, 3.299, 3.299], [3.299, 0.000, 3.299], [3.299, 3.299, 0.000]], "species": ["Li", "Ti", "Tl", "Au"], "frac_coords": [[0.000, 0.000, 0.000], [0.500, 0.500, 0.500], [0.750, 0.750, 0.750], [0.250, 0.250, 0.250]]}


(6)
{"formula": "LiZrTiAu2", "functional": "GGA-PBE", "state": "optimized geometry", "formation_energy_mev_per_atom": 120, "dos_ef_per_ev_cell": 5.0, "lattice": [[4.467, 0.000, 0.000], [0.000, 4.467, 0.000], [0.000, 0.000, 4.457]], "species": ["Li", "Zr", "Ti", "Au", "Au"], "frac_coords": [[0.000, 0.000, 0.000], [0.500, 0.500, 0.500], [0.000, 0.000, 0.500], [0.000, 0.500, 0.000], [0.500, 0.000, 0.000]]}


(7)
{"formula": "Li2TlAu", "functional": "GGA-PBE", "state": "optimized geometry", "formation_energy_mev_per_atom": -249, "dos_ef_per_ev_cell": 0.9, "lattice": [[1.714, 0.990, 7.992], [-1.714, 0.990, 7.992], [0.000, -1.980, 7.992]], "species": ["Li", "Li", "Tl", "Au"], "frac_coords": [[0.000, 0.000, 0.000], [0.191, 0.191, 0.191], [0.430, 0.430, 0.430], [0.594, 0.594, 0.594]]}


(8)
{"formula": "Li7TlAu2", "functional": "GGA-PBE", "state": "optimized geometry", "formation_energy_mev_per_atom": -167, "dos_ef_per_ev_cell": 4.2, "lattice": [[3.783, -6.351, 0.000], [3.783, 6.351, 0.000], [0.000, 0.000, 4.722]], "species": ["Li", "Li", "Li", "Li", "Li", "Li", "Li", "Tl", "Au", "Au"], "frac_coords": [[0.000, 0.000, 0.000], [0.199, 0.441, 0.000], [0.263, 0.737, 0.500], [0.441, 0.199, 0.000], [0.559, 0.801, 0.000], [0.737, 0.263, 0.500], [0.801, 0.559, 0.000], [0.500, 0.500, 0.500], [0.199, 0.801, 0.000], [0.801, 0.199, 0.000]]}